Entry 1:
This record from Alexandria describes TiAlSb after structural relaxation. The functional is PBE-GGA.

a b c (Å): 4.8393 4.8393 2.8681
angles (deg): 90.00 90.00 120.00
Element x y z (fractional)
Ti 0.0000 0.0000 0.0000
Al 0.3333 0.6667 0.5000
Sb 0.6667 0.3333 0.5000

N(E_F) = 2.44 states/eV/cell
SG = P-6m2, No. 187
final energy = -15.7 eV for the cell shown

Entry 2:
This record from Alexandria describes TiAlSb after structural relaxation. The functional is PBE-GGA.

a b c (Å): 3.8424 3.8424 7.9813
angles (deg): 90.00 90.00 90.00
Element x y z (fractional)
Ti 0.2500 0.2500 0.2315
Ti 0.7500 0.7500 0.7685
Al 0.2500 0.7500 0.5000
Al 0.7500 0.2500 0.5000
Sb 0.2500 0.2500 0.8528
Sb 0.7500 0.7500 0.1472

N(E_F) = 5.94 states/eV/cell
SG = P4/nmm, No. 129
final energy = -33.2 eV for the cell shown

Entry 3:
This record from Alexandria describes Ti2Al2Sb after structural relaxation. The functional is PBE-GGA.

a b c (Å): 6.8962 6.8962 3.9934
angles (deg): 90.00 90.00 90.00
Element x y z (fractional)
Ti 0.1477 0.3523 0.0000
Ti 0.3523 0.8523 0.0000
Ti 0.6477 0.1477 0.0000
Ti 0.8523 0.6477 0.0000
Al 0.1451 0.6451 0.5000
Al 0.3549 0.1451 0.5000
Al 0.6451 0.8549 0.5000
Al 0.8549 0.3549 0.5000
Sb 0.0000 0.0000 0.0000
Sb 0.5000 0.5000 0.0000

N(E_F) = 6.24 states/eV/cell
polymorph energy (0 for the lowest one) = 0.000 eV per atom
SG = P4/mbm, No. 127
final energy = -56.9 eV for the cell shown

Entry 4:
This record from Alexandria describes Ti2AlSb2 after structural relaxation. The functional is PBE-GGA.

a b c (Å): 7.2950 7.2950 3.7881
angles (deg): 90.00 90.00 90.00
Element x y z (fractional)
Ti 0.1462 0.3538 0.0000
Ti 0.3538 0.8538 0.0000
Ti 0.6462 0.1462 0.0000
Ti 0.8538 0.6462 0.0000
Al 0.0000 0.0000 0.0000
Al 0.5000 0.5000 0.0000
Sb 0.1554 0.6554 0.5000
Sb 0.3446 0.1554 0.5000
Sb 0.6554 0.8446 0.5000
Sb 0.8446 0.3446 0.5000

N(E_F) = 6.26 states/eV/cell
polymorph energy (0 for the lowest one) = 0.000 eV per atom
SG = P4/mbm, No. 127
final energy = -58.1 eV for the cell shown

Entry 5:
This record from Alexandria describes Ti12AlSb6 after structural relaxation. The functional is PBE-GGA.

a b c (Å): 7.6235 7.6235 7.6235
angles (deg): 99.01 99.01 99.01
Element x y z (fractional)
Ti 0.0156 0.8719 0.3253
Ti 0.1281 0.6747 0.9844
Ti 0.1910 0.4713 0.6240
Ti 0.3253 0.0156 0.8719
Ti 0.3760 0.8090 0.5287
Ti 0.4713 0.6240 0.1910
Ti 0.5287 0.3760 0.8090
Ti 0.6240 0.1910 0.4713
Ti 0.6747 0.9844 0.1281
Ti 0.8090 0.5287 0.3760
Ti 0.8719 0.3253 0.0156
Ti 0.9844 0.1281 0.6747
Al 0.5000 0.5000 0.5000
Sb 0.0312 0.7756 0.6591
Sb 0.2244 0.3409 0.9688
Sb 0.3409 0.9688 0.2244
Sb 0.6591 0.0312 0.7756
Sb 0.7756 0.6591 0.0312
Sb 0.9688 0.2244 0.3409

N(E_F) = 23.06 states/eV/cell
SG = R-3, No. 148
final energy = -123.2 eV for the cell shown

Entry 6:
This record from Alexandria describes Ti7Al2Sb2 after structural relaxation. The functional is PBE-GGA.

a b c (Å): 5.6563 5.6612 6.7938
angles (deg): 74.79 77.54 82.83
Element x y z (fractional)
Ti 0.0000 0.0000 0.0000
Ti 0.2504 0.9922 0.5474
Ti 0.2668 0.5009 0.4970
Ti 0.3874 0.6573 0.8544
Ti 0.6126 0.3427 0.1456
Ti 0.7332 0.4991 0.5030
Ti 0.7496 0.0078 0.4526
Al 0.4836 0.1542 0.8136
Al 0.5164 0.8458 0.1864
Sb 0.0994 0.3384 0.2060
Sb 0.9006 0.6616 0.7940

N(E_F) = 12.78 states/eV/cell
SG = P-1, No. 2
final energy = -73.0 eV for the cell shown

Entry 7:
This record from Alexandria describes TiAlSb after structural relaxation. The functional is PBE-GGA.

a b c (Å): 12.8605 3.7801 7.4329
angles (deg): 90.00 90.00 90.00
Element x y z (fractional)
Ti 0.0965 0.0000 0.1525
Ti 0.2500 0.5000 0.5698
Ti 0.4035 0.0000 0.1525
Ti 0.5965 0.0000 0.8475
Ti 0.7500 0.5000 0.4302
Ti 0.9035 0.0000 0.8475
Al 0.0974 0.0000 0.5347
Al 0.2500 0.0000 0.8521
Al 0.4026 0.0000 0.5347
Al 0.5974 0.0000 0.4653
Al 0.7500 0.0000 0.1479
Al 0.9026 0.0000 0.4653
Sb 0.0750 0.5000 0.8206
Sb 0.2500 0.5000 0.2095
Sb 0.4250 0.5000 0.8206
Sb 0.5750 0.5000 0.1794
Sb 0.7500 0.5000 0.7905
Sb 0.9250 0.5000 0.1794

N(E_F) = 15.21 states/eV/cell
SG = Pmma, No. 51
final energy = -97.0 eV for the cell shown

Entry 8:
This record from Alexandria describes Ti4AlSb after structural relaxation. The functional is PBE-GGA.

a b c (Å): 7.5839 7.5839 6.2119
angles (deg): 97.39 97.39 39.96
Element x y z (fractional)
Ti 0.0410 0.8148 0.5818
Ti 0.1704 0.5071 0.9067
Ti 0.1852 0.9590 0.9182
Ti 0.4929 0.8296 0.5933
Ti 0.5071 0.1704 0.4067
Ti 0.8148 0.0410 0.0818
Ti 0.8296 0.4929 0.0933
Ti 0.9590 0.1852 0.4182
Al 0.0000 0.5000 0.5000
Al 0.5000 0.0000 0.0000
Sb 0.3863 0.6137 0.2500
Sb 0.6137 0.3863 0.7500

N(E_F) = 15.14 states/eV/cell
polymorph energy (0 for the lowest one) = 0.348 eV per atom
SG = C2/c, No. 15
final energy = -78.9 eV for the cell shown

Entry 9:
This record from Alexandria describes Ti4AlSb after structural relaxation. The functional is PBE-GGA.

a b c (Å): 9.5349 3.7220 6.2300
angles (deg): 90.00 108.70 90.00
Element x y z (fractional)
Ti 0.1674 0.0000 0.3442
Ti 0.1691 0.0000 0.8249
Ti 0.3309 0.5000 0.1751
Ti 0.3326 0.5000 0.6558
Ti 0.6674 0.5000 0.3442
Ti 0.6691 0.5000 0.8249
Ti 0.8309 0.0000 0.1751
Ti 0.8326 0.0000 0.6558
Al 0.0000 0.5000 0.5000
Al 0.5000 0.0000 0.5000
Sb 0.0000 0.5000 0.0000
Sb 0.5000 0.0000 0.0000

N(E_F) = 10.42 states/eV/cell
polymorph energy (0 for the lowest one) = 0.000 eV per atom
SG = C2/m, No. 12
final energy = -83.0 eV for the cell shown

Entry 10:
This record from Alexandria describes TiAlSb after structural relaxation. The functional is PBE-GGA.

a b c (Å): 3.5462 3.5462 8.9436
angles (deg): 90.00 90.00 90.00
Element x y z (fractional)
Ti 0.0000 0.0000 0.0000
Ti 0.5000 0.5000 0.5000
Al 0.0000 0.0000 0.3399
Al 0.5000 0.5000 0.8399
Sb 0.0000 0.0000 0.6626
Sb 0.5000 0.5000 0.1626

N(E_F) = 7.81 states/eV/cell
SG = I4mm, No. 107
final energy = -33.0 eV for the cell shown

Entry 11:
This record from Alexandria describes Ti2AlSb2 after structural relaxation. The functional is PBE-GGA.

a b c (Å): 7.6176 7.6176 3.5612
angles (deg): 90.00 90.00 90.00
Element x y z (fractional)
Ti 0.1380 0.3620 0.0000
Ti 0.3620 0.8620 0.0000
Ti 0.6380 0.1380 0.0000
Ti 0.8620 0.6380 0.0000
Al 0.0000 0.0000 0.5000
Al 0.5000 0.5000 0.5000
Sb 0.1544 0.6544 0.5000
Sb 0.3456 0.1544 0.5000
Sb 0.6544 0.8456 0.5000
Sb 0.8456 0.3456 0.5000

N(E_F) = 10.85 states/eV/cell
polymorph energy (0 for the lowest one) = 0.159 eV per atom
SG = P4/mbm, No. 127
final energy = -56.5 eV for the cell shown

Entry 12:
This record from Alexandria describes TiAl2Sb after structural relaxation. The functional is PBE-GGA.

a b c (Å): 7.7480 7.7480 5.5172
angles (deg): 90.00 90.00 90.00
Element x y z (fractional)
Ti 0.0000 0.0000 0.0000
Ti 0.0000 0.5000 0.2500
Ti 0.5000 0.0000 0.7500
Ti 0.5000 0.5000 0.5000
Al 0.2489 0.2500 0.6250
Al 0.2500 0.7489 0.8750
Al 0.2500 0.7511 0.3750
Al 0.2511 0.2500 0.1250
Al 0.7489 0.7500 0.1250
Al 0.7500 0.2489 0.3750
Al 0.7500 0.2511 0.8750
Al 0.7511 0.7500 0.6250
Sb 0.0000 0.0000 0.5000
Sb 0.0000 0.5000 0.7500
Sb 0.5000 0.0000 0.2500
Sb 0.5000 0.5000 0.0000

N(E_F) = 15.46 states/eV/cell
polymorph energy (0 for the lowest one) = 0.000 eV per atom
SG = I-42d, No. 122
final energy = -74.8 eV for the cell shown

Number 2 is which compound? TiAlSb